No. 1
Here is a relaxed structure of CdInB2 from Alexandria. Energies are from GGA-PBE.

```
CdInB2
1.0
1.869 -2.713 2.993
-1.220 -4.276 0.195
2.815 -3.180 -1.331
B Cd In
2 1 1
direct
0.250 0.250 0.250 B
0.750 0.750 0.750 B
0.000 0.000 0.000 Cd
0.500 0.500 0.500 In
```

Energy above the lowest structure with this stoichiometry: 0.107 eV/atom
Calculated volume: 15.590 A^3/atom
Total moment: 0.00 Bohr magnetons per cell
Energy of formation from the pure elements: 1.46 eV/atom
Symmetry: No. 225

No. 2
Here is a relaxed structure of Er3HgPd3 from Alexandria. Energies are from GGA-PBE.

```
Er3HgPd3
1.0
-4.382 2.399 -0.402
-3.221 -4.891 5.929
3.728 7.159 2.074
Er Hg Pd
6 2 6
direct
0.750 0.668 0.586 Er
0.750 0.414 0.082 Er
0.750 0.918 0.332 Er
0.250 0.332 0.414 Er
0.250 0.586 0.918 Er
0.250 0.082 0.668 Er
0.250 0.667 0.333 Hg
0.750 0.333 0.667 Hg
0.250 0.821 0.781 Pd
0.250 0.219 0.041 Pd
0.250 0.959 0.179 Pd
0.750 0.179 0.219 Pd
0.750 0.781 0.959 Pd
0.750 0.041 0.821 Pd
```

Calculated volume: 21.532 A^3/atom
Total moment: 0.00 Bohr magnetons per cell
Energy of formation from the pure elements: -0.70 eV/atom
Symmetry: No. 176

No. 3
Here is a relaxed structure of BaInFeRu2 from Alexandria. Energies are from GGA-PBE.

```
BaInFeRu2
1.0
5.020 0.000 0.000
0.000 5.972 0.000
0.000 0.000 5.020
Fe Ru Ba In
1 2 1 1
direct
0.500 0.500 0.500 Fe
0.000 0.000 0.500 Ru
0.500 0.000 0.000 Ru
0.000 0.000 0.000 Ba
0.000 0.500 0.000 In
```

Calculated volume: 30.098 A^3/atom
Total moment: 5.42 Bohr magnetons per cell
Energy of formation from the pure elements: 2.48 eV/atom
Symmetry: No. 123

No. 4
Here is a relaxed structure of PuFeCo from Alexandria. Energies are from GGA-PBE.

```
PuFeCo
1.0
2.831 0.000 0.000
0.000 4.357 0.000
0.000 -2.178 3.773
Co Fe Pu
1 1 1
direct
0.000 0.000 0.000 Co
0.338 0.667 0.333 Fe
0.662 0.333 0.667 Pu
```

Energy above the lowest structure with this stoichiometry: 0.321 eV/atom
Calculated volume: 15.512 A^3/atom
Total moment: 1.40 Bohr magnetons per cell
Energy of formation from the pure elements: 0.19 eV/atom
Symmetry: No. 156